1.
## SrMn2Ni (PBE)

Data for a geometry-optimized SrMn2Ni structure.

## Properties
SG: No. 47
total DFT energy (no corrections): -5.988 eV per atom
theoretical density: 5.486 Mg/m³
DOS at the Fermi energy: 3.9 states/eV/f.u.
DFT formation energy: 462.8 meV/atom

a = 3.152 Å, b = 3.190 Å, c = 7.710 Å
α = 90.00°, β = 90.00°, γ = 90.00°
Atoms (fractional coordinates):
Mn: 0.000 0.000 0.079
Mn: 0.000 0.000 0.421
Ni: 0.500 0.500 0.250
Sr: 0.500 0.500 0.750



2.
## SrMn2Ni (PBE)

Data for a geometry-optimized SrMn2Ni structure.

## Properties
SG: No. 99
total DFT energy (no corrections): -6.011 eV per atom
theoretical density: 5.433 Mg/m³
DOS at the Fermi energy: 4.1 states/eV/f.u.
DFT formation energy: 439.9 meV/atom

a = 3.345 Å, b = 3.344 Å, c = 6.999 Å
α = 90.00°, β = 90.00°, γ = 90.00°
Atoms (fractional coordinates):
Mn: 0.000 0.000 0.072
Mn: 0.500 0.500 0.279
Ni: 0.000 0.000 0.417
Sr: 0.500 0.500 0.732



3.
## SrMn4Ni (PBE)

Data for a geometry-optimized SrMn4Ni structure.

## Properties
SG: No. 216
total DFT energy (no corrections): -6.669 eV per atom
theoretical density: 5.634 Mg/m³
DOS at the Fermi energy: 8.1 states/eV/f.u.
DFT formation energy: 688.1 meV/atom

a = 5.344 Å, b = 5.344 Å, c = 5.344 Å
α = 60.00°, β = 60.00°, γ = 60.00°
Atoms (fractional coordinates):
Sr: 0.000 0.000 0.000
Mn: 0.868 0.377 0.377
Mn: 0.377 0.377 0.868
Mn: 0.377 0.868 0.377
Mn: 0.377 0.377 0.377
Ni: 0.750 0.750 0.750



4.
## SrMn2Ni (PBE)

Data for a geometry-optimized SrMn2Ni structure.

## Properties
SG: No. 139
total DFT energy (no corrections): -5.759 eV per atom
theoretical density: 5.590 Mg/m³
DOS at the Fermi energy: 5.2 states/eV/f.u.
DFT formation energy: 691.1 meV/atom

a = 5.444 Å, b = 5.444 Å, c = 5.444 Å
α = 136.27°, β = 136.27°, γ = 63.56°
Atoms (fractional coordinates):
Mn: 0.000 0.000 0.000
Mn: 0.500 0.500 0.000
Ni: 0.250 0.750 0.500
Sr: 0.750 0.250 0.500



5.
## Sr3MnNi (PBE)

Data for a geometry-optimized Sr3MnNi structure.

## Properties
excess energy over the best structure of this formula in the dataset: 0.0 meV/atom
SG: No. 221
total DFT energy (no corrections): -3.608 eV per atom
theoretical density: 3.348 Mg/m³
DOS at the Fermi energy: 2.6 states/eV/f.u.
DFT formation energy: 391.7 meV/atom

a = 5.716 Å, b = 5.716 Å, c = 5.716 Å
α = 90.00°, β = 90.00°, γ = 90.00°
Atoms (fractional coordinates):
Sr: 0.000 0.500 0.000
Sr: 0.000 0.000 0.500
Sr: 0.500 0.000 0.000
Mn: 0.500 0.500 0.500
Ni: 0.000 0.000 0.000



6.
## SrTaMnNi2 (PBE)

Data for a geometry-optimized SrTaMnNi2 structure.

## Properties
SG: No. 123
total DFT energy (no corrections): -5.433 eV per atom
theoretical density: 6.095 Mg/m³
DOS at the Fermi energy: 4.7 states/eV/f.u.
DFT formation energy: 1420.0 meV/atom

a = 4.663 Å, b = 5.524 Å, c = 4.663 Å
α = 90.00°, β = 90.00°, γ = 90.00°
Atoms (fractional coordinates):
Sr: 0.000 0.500 0.000
Mn: 0.500 0.500 0.500
Ni: 0.000 0.000 0.500
Ni: 0.500 0.000 0.000
Ta: 0.000 0.000 0.000



7.
## SrMn2ZnNi (PBE)

Data for a geometry-optimized SrMn2ZnNi structure.

## Properties
SG: No. 123
total DFT energy (no corrections): -4.837 eV per atom
theoretical density: 4.389 Mg/m³
DOS at the Fermi energy: 2.7 states/eV/f.u.
DFT formation energy: 578.7 meV/atom

a = 4.703 Å, b = 5.501 Å, c = 4.703 Å
α = 90.00°, β = 90.00°, γ = 90.00°
Atoms (fractional coordinates):
Sr: 0.000 0.500 0.000
Zn: 0.500 0.500 0.500
Mn: 0.000 0.000 0.500
Mn: 0.500 0.000 0.000
Ni: 0.000 0.000 0.000



8.
## TaMn2Ni9 (PBE)

Data for a geometry-optimized TaMn2Ni9 structure.

## Properties
SG: No. 123
total DFT energy (no corrections): -7.038 eV per atom
theoretical density: 9.655 Mg/m³
DOS at the Fermi energy: 11.6 states/eV/f.u.
DFT formation energy: -186.5 meV/atom

a = 3.614 Å, b = 3.614 Å, c = 10.782 Å
α = 90.00°, β = 90.00°, γ = 90.00°
Atoms (fractional coordinates):
Ta: 0.000 0.000 0.000
Mn: 0.000 0.000 0.339
Mn: 0.000 0.000 0.661
Ni: 0.500 0.500 0.000
Ni: 0.500 0.500 0.334
Ni: 0.500 0.500 0.666
Ni: 0.500 0.000 0.170
Ni: 0.500 0.000 0.500
Ni: 0.500 0.000 0.830
Ni: 0.000 0.500 0.170
Ni: 0.000 0.500 0.500
Ni: 0.000 0.500 0.830



9.
## TaMnNi2 (PBE)

Data for a geometry-optimized TaMnNi2 structure.

## Properties
SG: No. 6
total DFT energy (no corrections): -8.227 eV per atom
theoretical density: 11.007 Mg/m³
DOS at the Fermi energy: 2.8 states/eV/f.u.
DFT formation energy: -81.1 meV/atom

a = 4.263 Å, b = 2.734 Å, c = 4.575 Å
α = 87.87°, β = 90.00°, γ = 90.00°
Atoms (fractional coordinates):
Mn: 0.500 0.657 0.827
Ni: 0.000 0.129 0.944
Ni: 0.500 0.120 0.288
Ta: 0.000 0.594 0.440



10.
## TaMnNi (PBE)

Data for a geometry-optimized TaMnNi structure.

## Properties
SG: No. 156
total DFT energy (no corrections): -8.747 eV per atom
theoretical density: 11.166 Mg/m³
DOS at the Fermi energy: 2.9 states/eV/f.u.
DFT formation energy: 187.3 meV/atom

a = 2.831 Å, b = 2.831 Å, c = 6.313 Å
α = 90.00°, β = 90.00°, γ = 120.00°
Atoms (fractional coordinates):
Mn: 0.000 0.000 0.015
Ni: 0.667 0.333 0.324
Ta: 0.333 0.667 0.661



11.
## TaMnNi2 (PBE)

Data for a geometry-optimized TaMnNi2 structure.

## Properties
SG: No. 139
total DFT energy (no corrections): -8.351 eV per atom
theoretical density: 11.476 Mg/m³
DOS at the Fermi energy: 2.9 states/eV/f.u.
DFT formation energy: -205.0 meV/atom

a = 4.593 Å, b = 4.593 Å, c = 4.593 Å
α = 132.80°, β = 132.90°, γ = 68.89°
Atoms (fractional coordinates):
Ni: 0.000 0.000 0.000
Ni: 0.500 0.500 0.000
Mn: 0.750 0.250 0.500
Ta: 0.250 0.750 0.500



12.
## Ta2Mn2Ni (PBE)

Data for a geometry-optimized Ta2Mn2Ni structure.

## Properties
SG: No. 127
total DFT energy (no corrections): -9.526 eV per atom
theoretical density: 12.434 Mg/m³
DOS at the Fermi energy: 6.5 states/eV/f.u.
DFT formation energy: 39.3 meV/atom

a = 6.109 Å, b = 6.109 Å, c = 3.797 Å
α = 90.00°, β = 90.00°, γ = 90.00°
Atoms (fractional coordinates):
Ni: 0.000 0.000 0.000
Ni: 0.500 0.500 0.000
Mn: 0.381 0.881 0.000
Mn: 0.881 0.619 0.000
Mn: 0.619 0.119 0.000
Mn: 0.119 0.381 0.000
Ta: 0.186 0.686 0.500
Ta: 0.686 0.814 0.500
Ta: 0.814 0.314 0.500
Ta: 0.314 0.186 0.500



13.
## TaMnNi3 (PBE)

Data for a geometry-optimized TaMnNi3 structure.

## Properties
SG: No. 221
total DFT energy (no corrections): -6.647 eV per atom
theoretical density: 9.307 Mg/m³
DOS at the Fermi energy: 8.1 states/eV/f.u.
DFT formation energy: 1026.6 meV/atom

a = 4.189 Å, b = 4.189 Å, c = 4.189 Å
α = 90.00°, β = 90.00°, γ = 90.00°
Atoms (fractional coordinates):
Ni: 0.000 0.500 0.000
Ni: 0.000 0.000 0.500
Ni: 0.500 0.000 0.000
Mn: 0.000 0.000 0.000
Ta: 0.500 0.500 0.500



14.
## TaMnNi (PBE)

Data for a geometry-optimized TaMnNi structure.

## Properties
SG: No. 156
total DFT energy (no corrections): -8.850 eV per atom
theoretical density: 11.718 Mg/m³
DOS at the Fermi energy: 4.4 states/eV/f.u.
DFT formation energy: 84.3 meV/atom

a = 4.246 Å, b = 4.246 Å, c = 2.673 Å
α = 90.00°, β = 90.00°, γ = 120.00°
Atoms (fractional coordinates):
Mn: 0.000 0.000 0.040
Ni: 0.667 0.333 0.296
Ta: 0.333 0.667 0.664



15.
## TaMnNi2 (PBE)

Data for a geometry-optimized TaMnNi2 structure.

## Properties
SG: No. 160
total DFT energy (no corrections): -7.979 eV per atom
theoretical density: 10.702 Mg/m³
DOS at the Fermi energy: 2.6 states/eV/f.u.
DFT formation energy: 167.1 meV/atom

a = 8.511 Å, b = 8.511 Å, c = 8.511 Å
α = 18.60°, β = 18.60°, γ = 18.60°
Atoms (fractional coordinates):
Mn: 0.743 0.743 0.743
Ni: 0.000 0.000 0.000
Ni: 0.254 0.254 0.254
Ta: 0.502 0.502 0.502